BeIn2Cu at its PBEsol-relaxed geometry. Source: Alexandria, functional meta-GGA SCAN.

Calculated formation energy: 0.1874 eV/atom
Magnetic moment: 0.000 μB/cell
V: 68.7 Å³/cell
Crystal system: tetragonal
D(E_F): 0.388 states/eV per atom

abc: 2.953 2.953 7.873
angles: 90.00 90.00 90.00
Atoms (fractional coordinates):
1 Be 0.000 0.000 0.565
2 Cu 0.500 0.500 0.686
3 In 0.000 0.000 0.941
4 In 0.500 0.500 0.308


FeCuAg2 at its PBEsol-relaxed geometry. Source: Alexandria, functional meta-GGA SCAN.

Calculated formation energy: 0.3092 eV/atom
Magnetic moment: 3.086 μB/cell
V: 56.7 Å³/cell
Crystal system: cubic
Distance to the lowest polymorph of the same formula: 0.1021 eV/atom
D(E_F): 0.641 states/eV per atom

abc: 4.312 4.312 4.312
angles: 60.00 60.00 60.00
Atoms (fractional coordinates):
1 Ag 0.250 0.250 0.250
2 Ag 0.750 0.750 0.750
3 Cu 0.000 0.000 0.000
4 Fe 0.500 0.500 0.500


Li5MnSi2O8 at its PBEsol-relaxed geometry. Source: Alexandria, functional meta-GGA SCAN.

Magnetic moment: 4.000 μB/cell
V: 166.1 Å³/cell
Crystal system: monoclinic
ΔE_f (raw): -2.56 eV/atom

abc: 5.153 5.153 6.271
angles: 91.69 91.69 92.99
Atoms (fractional coordinates):
1 Li 0.307 0.693 0.500
2 Li 0.671 0.329 0.000
3 Li 0.316 0.684 0.000
4 Li 0.198 0.182 0.249
5 Li 0.818 0.802 0.751
6 Mn 0.678 0.322 0.500
7 Si 0.179 0.164 0.764
8 Si 0.836 0.821 0.236
9 O 0.318 0.310 0.557
10 O 0.690 0.682 0.443
11 O 0.293 0.303 0.982
12 O 0.697 0.707 0.018
13 O 0.800 0.148 0.263
14 O 0.852 0.200 0.737
15 O 0.147 0.801 0.253
16 O 0.199 0.853 0.747


ZrTc3 at its PBEsol-relaxed geometry. Source: Alexandria, functional meta-GGA SCAN.

Calculated formation energy: -0.0756 eV/atom
Magnetic moment: 0.000 μB/cell
V: 61.5 Å³/cell
Crystal system: trigonal
D(E_F): 0.748 states/eV per atom

abc: 2.770 5.148 5.148
angles: 116.86 100.33 100.33
Atoms (fractional coordinates):
1 Tc 0.500 0.500 0.000
2 Tc 0.000 0.500 0.500
3 Tc 0.500 0.000 0.500
4 Zr 0.000 0.000 0.000


MgTa2Ag at its PBEsol-relaxed geometry. Source: Alexandria, functional meta-GGA SCAN.

Calculated formation energy: 0.2205 eV/atom
Magnetic moment: 0.000 μB/cell
V: 69.9 Å³/cell
Crystal system: orthorhombic
D(E_F): 0.745 states/eV per atom

abc: 3.197 4.378 4.996
angles: 90.00 90.00 90.00
Atoms (fractional coordinates):
1 Ag 0.500 0.000 0.500
2 Mg 0.000 0.500 0.500
3 Ta 0.000 0.000 0.000
4 Ta 0.500 0.500 0.000


Co3BiRu at its PBEsol-relaxed geometry. Source: Alexandria, functional meta-GGA SCAN.

Calculated formation energy: 1.5331 eV/atom
Magnetic moment: 0.018 μB/cell
V: 84.5 Å³/cell
Crystal system: cubic
D(E_F): 1.382 states/eV per atom

abc: 4.388 4.388 4.388
angles: 90.00 90.00 90.00
Atoms (fractional coordinates):
1 Ru 0.000 0.000 0.000
2 Co 0.000 0.500 0.000
3 Co 0.000 0.000 0.500
4 Co 0.500 0.000 0.000
5 Bi 0.500 0.500 0.500


NaSr2HF at its PBEsol-relaxed geometry. Source: Alexandria, functional meta-GGA SCAN.

Magnetic moment: 0.071 μB/cell
V: 166.4 Å³/cell
Crystal system: tetragonal
Uncorrected energy: -57.368 eV for the cell shown
D(E_F): 0.341 states/eV per atom

abc: 4.052 6.409 6.409
angles: 90.00 90.00 90.00
Atoms (fractional coordinates):
1 Sr 0.000 0.000 0.500
2 Sr 0.000 0.500 0.000
3 F 0.500 0.000 0.000
4 H 0.500 0.500 0.500
5 Na 0.000 0.000 0.000


CrNiOs2S at its PBEsol-relaxed geometry. Source: Alexandria, functional meta-GGA SCAN.

Magnetic moment: 0.299 μB/cell
V: 83.5 Å³/cell
Crystal system: tetragonal
ΔE_f (raw): 1.81 eV/atom
D(E_F): 1.065 states/eV per atom

abc: 4.302 4.405 4.405
angles: 90.00 90.00 90.00
Atoms (fractional coordinates):
1 Ni 0.000 0.000 0.000
2 S 0.500 0.500 0.500
3 Os 0.000 0.000 0.500
4 Os 0.000 0.500 0.000
5 Cr 0.500 0.000 0.000


- magnetic moment of number 5 (MgTa2Ag)?
  0.000 μB/cell


- Which formula does entry 3 have?
  Li5MnSi2O8